--- w ---
# PrBeZn

A relaxed PrBeZn crystal (PBE, OQMD via LeMat-Bulk).

Values from the calculation:
The value obtained for the total magnetic moment is 0.088 μB per atom.

Geometry as CIF:
```
data_PrBeZn
_chemical_formula_sum 'Pr4 Be4 Zn4'
_symmetry_space_group_name_H-M 'F -4 3 m'
_symmetry_Int_Tables_number 216
_symmetry_space_group_name_Hall 'F -4 2 3'
_cell_length_a 6.4641
_cell_length_b 6.4641
_cell_length_c 6.4641
_cell_angle_alpha 90.00
_cell_angle_beta 90.00
_cell_angle_gamma 90.00
loop_
_atom_site_label
_atom_site_type_symbol
_atom_site_fract_x
_atom_site_fract_y
_atom_site_fract_z
Pr1 Pr 0.0000 0.0000 0.0000
Be1 Be 0.0000 0.0000 0.5000
Zn1 Zn 0.2500 0.2500 0.7500
```

--- x ---
# PrBeZn

A relaxed PrBeZn crystal (PBE, OQMD via LeMat-Bulk).

Values from the calculation:
The value obtained for the total magnetic moment is 0.001 μB per atom.

Geometry as CIF:
```
data_PrBeZn
_chemical_formula_sum 'Pr4 Be4 Zn4'
_symmetry_space_group_name_H-M 'F -4 3 m'
_symmetry_Int_Tables_number 216
_symmetry_space_group_name_Hall 'F -4 2 3'
_cell_length_a 6.6817
_cell_length_b 6.6817
_cell_length_c 6.6817
_cell_angle_alpha 90.00
_cell_angle_beta 90.00
_cell_angle_gamma 90.00
loop_
_atom_site_label
_atom_site_type_symbol
_atom_site_fract_x
_atom_site_fract_y
_atom_site_fract_z
Pr1 Pr 0.0000 0.0000 0.0000
Be1 Be 0.2500 0.2500 0.2500
Zn1 Zn 0.2500 0.2500 0.7500
```

Best to worst by energy: w, x.